(1)
12
Lattice="-5.005 -4.268 3.341 6.394 -2.898 -2.267 2.811 4.080 6.711" Properties=species:S:1:pos:R:3 comment="Rb3TmSb2Se6, optimized geometry, DFT GGA-PBE" volume_a3_per_atom=31.312 raw_formation_energy_ev_per_atom=-1.027 space_group="C2/m (12)" rho_g_cm3=5.05 dft_energy_ev_per_cell=-48.85 pbc="T T T"
Se 2.626 1.400 5.681
Se 1.467 -2.466 7.151
Se 5.204 -2.017 5.313
Rb 5.872 -1.090 2.037
Se 2.734 -0.620 0.633
Rb 2.100 -1.543 3.892
Se -1.003 -1.069 2.471
Tm 0.000 0.000 0.000
Sb -1.202 -3.811 1.470
Sb 2.591 -3.355 -0.396
Se 1.574 -4.486 2.103
Rb -1.672 -1.996 5.748


(2)
4
Lattice="-5.222 1.647 -1.119 -3.696 -3.644 -2.072 -4.236 -1.794 3.173" Properties=species:S:1:pos:R:3 comment="LaPmHoIn, optimized geometry, DFT GGA-PBE" volume_a3_per_atom=30.858 de_polymorph_mev_per_atom=0 space_group="F-43m (216)" rho_g_cm3=7.58 dft_energy_ev_per_cell=-17.65 e_form_ev_per_atom=-0.163 pbc="T T T"
Pm 0.000 0.000 0.000
La -6.577 -1.895 -0.009
Ho -9.866 -2.843 -0.013
In -3.289 -0.948 -0.004


(3)
6
Lattice="-3.495 1.106 3.227 -0.846 -2.921 0.084 5.203 -1.384 4.201" Properties=species:S:1:pos:R:3 comment="LiVHg, optimized geometry, DFT GGA-PBE" volume_a3_per_atom=16.619 de_polymorph_mev_per_atom=95 space_group="P1 (1)" rho_g_cm3=8.61 dft_energy_ev_per_cell=-21.90 e_form_ev_per_atom=0.128 pbc="T T T"
Hg 4.531 -3.059 4.380
Li 3.105 -1.020 5.868
V -1.435 -1.339 4.124
Hg 1.463 -2.183 3.907
Li 0.551 -0.383 2.232
V 0.092 -0.154 5.414